# 1
The following is a PBE calculation of a geometry-optimized Ta2V2W3 structure, from the Alexandria database.

Calculated values
D(E_F)	0.893	states/eV per atom
magnetization	0.00	μB per formula unit
density	14.4	g cm⁻³
E_form	0.360	eV/atom
polymorph energy (0 for the lowest one)	237	meV/atom

```
7
Lattice="-1.415 1.492 -3.081 0.029 -3.537 -3.953 -6.183 -3.171 -0.923" Properties=species:S:1:pos:R:3 pbc="T T T"
Ta -1.545 -2.178 -2.572
Ta -6.024 -3.038 -5.385
V -5.111 -5.616 -4.826
V -2.457 0.400 -3.131
W -0.707 0.746 -1.540
W -3.313 -3.664 -4.706
W -4.256 -1.552 -3.251
```


# 2
The following is a PBE calculation of a geometry-optimized TaTl2CdIr structure, from the Alexandria database.

Calculated values
D(E_F)	1.761	states/eV per atom
magnetization	0.00	μB per formula unit
density	10.9	g cm⁻³
E_form	1.305	eV/atom

```
5
Lattice="-0.662 0.937 5.016 -2.806 -4.282 0.430 4.259 -2.684 1.063" Properties=species:S:1:pos:R:3 pbc="T T T"
Cd -1.403 -2.141 0.215
Tl 2.130 -1.342 0.532
Tl -0.331 0.468 2.508
Ir 0.000 0.000 0.000
Ta 0.396 -3.015 3.255
```


# 3
The following is a PBE calculation of a geometry-optimized DyY3Sc8 structure, from the Alexandria database.

Calculated values
D(E_F)	1.862	states/eV per atom
magnetization	0.02	μB per formula unit
density	3.6	g cm⁻³
E_form	0.691	eV/atom

```
12
Lattice="-0.456 -3.199 7.197 7.036 -0.339 -3.552 -0.807 7.837 -0.415" Properties=species:S:1:pos:R:3 pbc="T T T"
Dy 0.000 0.000 0.000
Y 4.847 0.105 0.831
Y 0.926 4.194 2.399
Y 3.115 3.749 -1.984
Sc 1.193 0.152 2.588
Sc 4.389 3.917 0.764
Sc 5.231 1.757 -2.853
Sc 1.189 5.971 -1.236
Sc 2.186 1.966 0.340
Sc 0.396 -1.509 4.922
Sc 3.727 6.695 -2.607
Sc 5.694 4.644 -3.394
```


# 4
The following is a PBE calculation of a geometry-optimized PbS2O6F2 structure, from the Alexandria database.

Calculated values
D(E_F)	0.000	states/eV per atom
formation energy from raw total energies	-1.51	eV/atom
magnetization	0.00	μB per formula unit
density	3.6	g cm⁻³

```
11
Lattice="6.208 0.000 0.000 -3.104 5.376 0.000 0.000 0.000 5.567" Properties=species:S:1:pos:R:3 pbc="T T T"
Pb 0.000 0.000 0.000
S 0.000 3.584 3.919
S 3.104 1.792 1.648
O 0.062 2.170 4.245
O -1.255 4.238 4.245
O 1.194 4.344 4.245
O 3.042 3.206 1.322
O 4.359 1.139 1.322
O 1.910 1.032 1.322
F 0.000 3.584 2.315
F 3.104 1.792 3.252
```


# 5
The following is a PBE calculation of a geometry-optimized La2InTe structure, from the Alexandria database.

Calculated values
D(E_F)	1.552	states/eV per atom
formation energy from raw total energies	-0.35	eV/atom
magnetization	0.00	μB per formula unit
density	7.2	g cm⁻³
polymorph energy (0 for the lowest one)	696	meV/atom

```
4
Lattice="5.544 0.000 0.000 2.772 4.801 0.000 2.772 1.600 4.526" Properties=species:S:1:pos:R:3 pbc="T T T"
In 5.544 3.201 2.263
La 0.000 0.000 0.000
La 2.772 1.600 1.132
Te 8.316 4.801 3.395
```


# 6
The following is a PBE calculation of a geometry-optimized NaThCrN4 structure, from the Alexandria database.

Calculated values
D(E_F)	0.269	states/eV per atom
formation energy from raw total energies	-0.61	eV/atom
magnetization	1.03	μB per formula unit
density	4.9	g cm⁻³

```
14
Lattice="6.079 0.000 1.159 0.000 5.502 0.000 -1.076 0.000 7.215" Properties=species:S:1:pos:R:3 pbc="T T T"
Na 2.651 4.127 6.906
Na 2.352 1.376 1.468
Th 4.390 4.127 3.916
Th 0.613 1.376 4.458
Cr 1.464 4.127 2.793
Cr 3.538 1.376 5.580
N 4.602 2.720 5.850
N 0.401 5.471 2.524
N 0.401 2.782 2.524
N 4.602 0.031 5.850
N 2.997 4.127 1.968
N 2.005 1.376 6.406
N 1.897 4.127 4.456
N 3.105 1.376 3.918
```


# 7
The following is a PBE calculation of a geometry-optimized NbCu2SbH structure, from the Alexandria database.

Calculated values
D(E_F)	0.583	states/eV per atom
magnetization	0.13	μB per formula unit
density	8.5	g cm⁻³
energy	-5.065	eV per atom

```
5
Lattice="4.060 0.000 0.000 0.000 4.060 0.000 0.000 0.000 4.072" Properties=species:S:1:pos:R:3 pbc="T T T"
Sb 2.030 2.030 2.036
Nb 0.000 0.000 2.036
Cu 0.000 2.030 0.000
Cu 2.030 0.000 0.000
H 0.000 0.000 0.000
```


# 8
The following is a PBE calculation of a geometry-optimized HoPu4P5 structure, from the Alexandria database.

Calculated values
D(E_F)	3.324	states/eV per atom
magnetization	19.84	μB per formula unit
density	9.6	g cm⁻³
E_form	-1.244	eV/atom

```
10
Lattice="5.088 0.000 2.454 2.544 6.315 1.227 -0.200 0.000 6.915" Properties=species:S:1:pos:R:3 pbc="T T T"
Ho 0.006 0.000 0.003
Pu 2.893 2.526 7.017
Pu 5.991 5.063 7.096
Pu 1.451 1.252 3.505
Pu 4.549 3.789 3.584
P 5.447 2.547 8.222
P 3.455 5.039 5.851
P 3.986 1.276 4.750
P 1.994 3.769 2.379
P 2.550 0.000 1.230
```


# 9
The following is a PBE calculation of a geometry-optimized PrTmMgBe structure, from the Alexandria database.

Calculated values
D(E_F)	1.013	states/eV per atom
magnetization	0.00	μB per formula unit
density	5.9	g cm⁻³
E_form	0.111	eV/atom

```
4
Lattice="-1.411 3.372 -3.635 -3.938 3.214 0.856 0.881 5.034 0.673" Properties=species:S:1:pos:R:3 pbc="T T T"
Pr -1.117 2.905 -0.527
Be 0.000 0.000 0.000
Mg -2.234 5.810 -1.053
Tm -3.351 8.716 -1.580
```


# 10
The following is a PBE calculation of a geometry-optimized BOsCl2 structure, from the Alexandria database.

Calculated values
D(E_F)	0.859	states/eV per atom
formation energy from raw total energies	1.82	eV/atom
magnetization	0.00	μB per formula unit
density	7.8	g cm⁻³
polymorph energy (0 for the lowest one)	1305	meV/atom

```
4
Lattice="2.629 -3.451 -0.022 1.101 -1.912 3.735 -1.567 -3.927 0.972" Properties=species:S:1:pos:R:3 pbc="T T T"
B 0.000 0.000 0.000
Os 1.082 -4.645 2.342
Cl 0.541 -2.323 1.171
Cl 1.622 -6.968 3.514
```


# 11
The following is a PBE calculation of a geometry-optimized Na2MgS structure, from the Alexandria database.

Calculated values
D(E_F)	0.000	states/eV per atom
formation energy from raw total energies	-0.30	eV/atom
magnetization	0.00	μB per formula unit
density	1.8	g cm⁻³
polymorph energy (0 for the lowest one)	0	meV/atom

```
4
Lattice="-2.540 0.728 4.408 -4.998 1.195 -0.081 -3.490 -3.438 1.552" Properties=species:S:1:pos:R:3 pbc="T T T"
Na -2.757 -0.379 1.470
Na -8.271 -1.137 4.410
S -5.514 -0.758 2.940
Mg 0.000 0.000 0.000
```


# 12
The following is a PBE calculation of a geometry-optimized SrMg4Ga structure, from the Alexandria database.

Calculated values
D(E_F)	0.487	states/eV per atom
magnetization	0.00	μB per formula unit
density	2.7	g cm⁻³
E_form	-0.157	eV/atom
polymorph energy (0 for the lowest one)	0	meV/atom

```
12
Lattice="-1.707 -0.253 4.135 3.308 -7.066 0.934 8.149 3.971 1.179" Properties=species:S:1:pos:R:3 pbc="T T T"
Sr 2.634 -0.814 1.038
Sr 7.116 -2.533 5.211
Mg 0.800 -3.659 2.535
Mg -0.854 -0.126 2.068
Mg 4.951 -5.335 4.146
Mg 4.799 1.988 2.103
Mg 6.047 -0.677 2.455
Mg 3.703 -2.670 3.794
Mg 3.640 -4.689 1.217
Mg 6.110 1.342 5.032
Ga 5.948 -3.472 2.244
Ga 3.802 0.125 4.005
```